[1]
# SbOs8

A relaxed SbOs8 crystal (GGA-PBE, the Alexandria database).

The structure in CIF format:
```
data_SbOs8
_space_group_name_H-M_alt 'I 4/m m m'
_space_group_IT_number 139
_space_group_name_Hall '-I 4 2'
_cell_length_a 8.3174
_cell_length_b 8.3174
_cell_length_c 3.9200
_cell_angle_alpha 90.00
_cell_angle_beta 90.00
_cell_angle_gamma 90.00
loop_
_atom_site_label
_atom_site_type_symbol
_atom_site_fract_x
_atom_site_fract_y
_atom_site_fract_z
Sb1 Sb 0.0000 0.0000 0.0000
Os1 Os 0.0000 0.3434 0.0000
Os2 Os 0.1776 0.1776 0.5000
```

***

[2]
# MgGa2HgI8

A relaxed MgGa2HgI8 crystal (GGA-PBE, the Alexandria database).

The structure in CIF format:
```
data_MgGa2HgI8
_space_group_name_H-M_alt 'C 1 2/m 1'
_space_group_IT_number 12
_cell_length_a 12.1493
_cell_length_b 8.1846
_cell_length_c 11.3622
_cell_angle_alpha 90.00
_cell_angle_beta 103.73
_cell_angle_gamma 90.00
loop_
_space_group_symop_operation_xyz
'x,y,z'
'-x,-y,-z'
'-x,y,-z'
'x,-y,z'
'x+1/2,y+1/2,z'
'-x+1/2,-y+1/2,-z'
'-x+1/2,y+1/2,-z'
'x+1/2,-y+1/2,z'
loop_
_atom_site_label
_atom_site_type_symbol
_atom_site_fract_x
_atom_site_fract_y
_atom_site_fract_z
Mg1 Mg 0.0000 0.0000 0.0000
Ga1 Ga 0.1843 0.5000 0.1938
Hg1 Hg 0.0000 0.5000 0.5000
I1 I 0.0507 0.2456 0.1987
I2 I 0.1634 0.0000 0.6113
I3 I 0.2455 0.0000 0.0062
```

***

M_tot: 0.00 0.00 (μB/f.u.)
Formation energy without anion corrections: 0.278 -0.538 (eV/atom)